Compound: PuCuIr4
Source: Alexandria
Functional: PBE-GGA
Structure: optimized geometry

Lattice parameters (Å, degrees): 5.243 5.243 5.243 60.00 60.00 60.00
Atoms (fractional coordinates):
Ir 0.625 0.625 0.124
Ir 0.625 0.124 0.625
Ir 0.625 0.625 0.625
Ir 0.124 0.625 0.625
Cu 0.000 0.000 0.000
Pu 0.250 0.250 0.250

Properties
For the energy of formation, the calculation gives -0.143 eV/atom.

=====

Compound: Tm4MgHg2
Source: Alexandria
Functional: PBE-GGA
Structure: optimized geometry

Lattice parameters (Å, degrees): 5.167 5.167 9.242 73.77 73.77 60.00
Atoms (fractional coordinates):
Tm 0.375 0.375 0.875
Tm 0.216 0.216 0.353
Tm 0.784 0.784 0.647
Tm 0.625 0.625 0.125
Mg 0.000 0.000 0.000
Hg 0.102 0.102 0.694
Hg 0.898 0.898 0.306

Properties
For the energy of formation, the calculation gives -0.051 eV/atom. For the energy above the most stable polymorph in this dataset, the calculation gives 159 meV per atom.

=====

Compound: MnAgGeAu
Source: Alexandria
Functional: PBE-GGA
Structure: optimized geometry

Lattice parameters (Å, degrees): 4.585 4.585 4.585 60.00 60.00 60.00
Atoms (fractional coordinates):
Ge 0.250 0.250 0.250
Mn 0.500 0.500 0.500
Au 0.750 0.750 0.750
Ag 0.000 0.000 0.000

Properties
For the energy of formation, the calculation gives 0.107 eV/atom.

=====

Compound: Th4IrRuS2
Source: Alexandria
Functional: PBE-GGA
Structure: optimized geometry

Lattice parameters (Å, degrees): 4.070 7.510 7.047 71.77 90.00 90.00
Atoms (fractional coordinates):
Th 0.000 0.727 0.754
Th 0.000 0.273 0.246
Th 0.500 0.727 0.260
Th 0.500 0.273 0.740
Ir 0.500 0.500 0.000
Ru 0.000 0.500 0.500
S 0.000 0.000 0.000
S 0.500 0.000 0.500

Properties
The value obtained for the energy relative to the elements, uncorrected is -9.94 eV/f.u.

=====

Compound: KSr2Rh
Source: Alexandria
Functional: PBE-GGA
Structure: optimized geometry

Lattice parameters (Å, degrees): 6.396 6.396 6.396 133.97 133.97 67.14
Atoms (fractional coordinates):
K 0.500 0.500 0.000
Rh 0.750 0.250 0.500
Sr 0.000 0.000 0.000
Sr 0.250 0.750 0.500

Properties
For the energy of formation, the calculation gives 0.355 eV/atom. For the energy above the most stable polymorph in this dataset, the calculation gives 430 meV per atom.

=====

Compound: Ca2ScPb
Source: Alexandria
Functional: PBE-GGA
Structure: optimized geometry

Lattice parameters (Å, degrees): 3.703 4.376 7.700 90.00 90.00 90.00
Atoms (fractional coordinates):
Pb 0.000 0.000 0.529
Sc 0.500 0.500 0.716
Ca 0.000 0.000 0.970
Ca 0.500 0.500 0.285

Properties
For the energy of formation, the calculation gives -0.156 eV/atom.

=====

Compound: KMgTeH2
Source: Alexandria
Functional: PBE-GGA
Structure: optimized geometry

Lattice parameters (Å, degrees): 4.300 9.152 4.300 90.00 90.00 90.00
Atoms (fractional coordinates):
H 0.000 0.000 0.500
H 0.500 0.000 0.000
K 0.000 0.000 0.000
Te 0.500 0.500 0.500
Mg 0.000 0.500 0.000

Properties
The value obtained for the uncorrected energy is -2.079 eV/atom.

=====

Compound: Ca2GeAsPt6
Source: Alexandria
Functional: PBE-GGA
Structure: optimized geometry

Lattice parameters (Å, degrees): 5.590 8.396 8.607 90.00 90.00 90.00
Atoms (fractional coordinates):
Ca 0.500 0.724 0.257
Ca 0.000 0.276 0.757
Ca 0.500 0.724 0.743
Ca 0.000 0.276 0.243
Ge 0.000 0.737 0.500
Ge 0.500 0.263 0.000
As 0.500 0.261 0.500
As 0.000 0.739 0.000
Pt 0.500 0.109 0.253
Pt 0.500 0.109 0.747
Pt 0.000 0.891 0.247
Pt 0.000 0.891 0.753
Pt 0.250 0.991 0.500
Pt 0.750 0.991 0.500
Pt 0.243 0.492 0.500
Pt 0.757 0.492 0.500
Pt 0.743 0.508 0.000
Pt 0.257 0.508 0.000
Pt 0.250 0.009 0.000
Pt 0.750 0.009 0.000

Properties
For the energy of formation, the calculation gives -0.705 eV/atom.

=====

Compound: TlAgC
Source: Alexandria
Functional: PBE-GGA
Structure: optimized geometry

Lattice parameters (Å, degrees): 5.593 5.593 5.860 107.47 72.50 122.61
Atoms (fractional coordinates):
Tl 0.364 0.904 0.296
Tl 0.038 0.230 0.319
C 0.319 0.184 0.808
C 0.084 0.950 0.808
Ag 0.701 0.567 0.808
Ag 0.701 0.567 0.308

Properties
For the energy of formation, the calculation gives 0.670 eV/atom.

=====

Compound: SrPF
Source: Alexandria
Functional: PBE-GGA
Structure: optimized geometry

Lattice parameters (Å, degrees): 14.988 4.005 3.967 90.00 90.00 90.00
Atoms (fractional coordinates):
Sr 0.108 0.000 0.500
Sr 0.892 0.000 0.500
Sr 0.608 0.500 0.500
Sr 0.392 0.500 0.500
F 0.000 0.000 0.000
F 0.500 0.500 0.000
F 0.500 0.000 0.500
F 0.000 0.500 0.500
P 0.716 0.000 0.000
P 0.284 0.000 0.000
P 0.216 0.500 0.000
P 0.784 0.500 0.000

Properties
The value obtained for the energy relative to the elements, uncorrected is -6.60 eV/f.u. For the energy above the most stable polymorph in this dataset, the calculation gives 134 meV per atom.

=====

Number 1: Fermi-level density of states 7.42 states/eV per cell, spin magnetization 3.38 μB/cell. Number 2: Fermi-level density of states 10.32 states/eV per cell, spin magnetization 0.00 μB/cell. Number 3: Fermi-level density of states 1.32 states/eV per cell, spin magnetization 3.64 μB/cell. Number 4: Fermi-level density of states 5.92 states/eV per cell, spin magnetization 0.00 μB/cell. Number 5: Fermi-level density of states 1.96 states/eV per cell, spin magnetization 0.00 μB/cell. Number 6: Fermi-level density of states 4.30 states/eV per cell, spin magnetization 0.98 μB/cell. Number 7: Fermi-level density of states 1.73 states/eV per cell, spin magnetization 1.05 μB/cell. Number 8: Fermi-level density of states 10.23 states/eV per cell, spin magnetization 0.00 μB/cell. Number 9: Fermi-level density of states 1.13 states/eV per cell, spin magnetization 0.00 μB/cell. Number 10: Fermi-level density of states 0.81 states/eV per cell, spin magnetization 0.00 μB/cell.